--- P ---
Below is a relaxed structure of ZrScCd, with properties calculated at the GGA-PBE level.

extended XYZ file:
```
3
Lattice="0.0000 3.3964 3.3964 3.3964 0.0000 3.3964 3.3964 3.3964 0.0000" Properties=species:S:1:pos:R:3 pbc="T T T"
Zr 0.0000 0.0000 0.0000
Sc 3.3964 3.3964 3.3964
Cd 1.6982 1.6982 1.6982
```

Output
DOS at the Fermi energy = 3.58 states/eV/cell
V = 26.1 Å³/atom
ρ = 5.27 Mg/m³


--- Q ---
Below is a relaxed structure of ZrScCd, with properties calculated at the GGA-PBE level.

extended XYZ file:
```
6
Lattice="3.2220 0.0000 0.0000 0.0000 3.2220 0.0000 0.0000 0.0000 13.1193" Properties=species:S:1:pos:R:3 pbc="T T T"
Zr 0.8055 0.8055 1.1453
Zr 2.4165 2.4165 11.9740
Sc 0.8055 0.8055 9.7692
Sc 2.4165 2.4165 3.3501
Cd 0.8055 0.8055 5.5133
Cd 2.4165 2.4165 7.6060
```

Output
DOS at the Fermi energy = 5.41 states/eV/cell
V = 22.7 Å³/atom
ρ = 6.06 Mg/m³


Which of them is most stable, and which least? Most stable: Q; least stable: P.


--- P ---
Below is a relaxed structure of ZrSc4Cd, with properties calculated at the GGA-PBE level.

extended XYZ file:
```
6
Lattice="0.0000 4.1486 4.1486 4.1486 0.0000 4.1486 4.1486 4.1486 0.0000" Properties=species:S:1:pos:R:3 pbc="T T T"
Zr 0.0000 0.0000 0.0000
Sc 3.1061 3.1061 3.1061
Sc 5.1911 5.1911 3.1061
Sc 5.1911 3.1061 5.1911
Sc 3.1061 5.1911 5.1911
Cd 6.2229 6.2229 6.2229
```

Output
DOS at the Fermi energy = 6.80 states/eV/cell
V = 23.8 Å³/atom
ρ = 4.46 Mg/m³


--- Q ---
Below is a relaxed structure of ZrSc4Cd, with properties calculated at the GGA-PBE level.

extended XYZ file:
```
6
Lattice="5.3945 -2.4322 0.0000 5.3945 2.4322 0.0000 -3.2593 0.0000 5.3413" Properties=species:S:1:pos:R:3 pbc="T T T"
Zr 0.0000 0.0000 0.0000
Sc 1.1761 0.0000 3.5824
Sc 3.1395 0.0000 0.9909
Sc 4.3903 0.0000 4.3504
Sc 6.3537 0.0000 1.7590
Cd -1.6296 0.0000 2.6707
```

Output
DOS at the Fermi energy = 8.58 states/eV/cell
V = 23.4 Å³/atom
ρ = 4.54 Mg/m³


--- R ---
Below is a relaxed structure of ZrSc4Cd, with properties calculated at the GGA-PBE level.

extended XYZ file:
```
6
Lattice="3.2419 0.0000 0.0000 0.0000 3.2419 0.0000 0.0000 0.0000 13.3863" Properties=species:S:1:pos:R:3 pbc="T T T"
Zr 0.0000 0.0000 0.0000
Sc 0.0000 0.0000 4.6015
Sc 0.0000 0.0000 8.7848
Sc 1.6210 1.6210 2.2169
Sc 1.6210 1.6210 11.1694
Cd 1.6210 1.6210 6.6932
```

Output
DOS at the Fermi energy = 8.51 states/eV/cell
V = 23.4 Å³/atom
ρ = 4.53 Mg/m³


Which of them is most stable, and which least? Most stable: R; least stable: P.


--- P ---
Below is a relaxed structure of Cd5Se3, with properties calculated at the GGA-PBE level.

extended XYZ file:
```
16
Lattice="6.8730 0.0000 0.0000 -3.2933 6.2405 0.0000 -1.2620 -2.7019 10.6588" Properties=species:S:1:pos:R:3 pbc="T T T"
Cd -0.7518 1.5644 0.8047
Cd -1.6760 3.3591 2.9784
Cd -1.8995 2.9067 7.7809
Cd 0.2970 0.1861 5.2036
Cd 0.4984 -0.9907 10.2373
Cd 1.8191 4.5293 0.4216
Cd 2.0206 3.3525 5.4552
Cd 4.2171 0.6319 2.8780
Cd 3.9936 0.1795 7.6804
Cd 3.0694 1.9742 9.8541
Se -0.5355 -1.2338 7.3349
Se -0.5861 2.7628 5.4088
Se -0.6121 5.1814 1.3263
Se 2.9296 -1.6428 9.3326
Se 2.9037 0.7758 5.2500
Se 2.8531 4.7724 3.3240
```

Output
DOS at the Fermi energy = 0.07 states/eV/cell
V = 28.6 Å³/atom
ρ = 5.80 Mg/m³


--- Q ---
Below is a relaxed structure of Cd5Se3, with properties calculated at the GGA-PBE level.

extended XYZ file:
```
8
Lattice="3.3367 -5.3356 0.0000 3.3367 5.3356 0.0000 0.0000 0.0000 5.3274" Properties=species:S:1:pos:R:3 pbc="T T T"
Cd 0.0000 0.0000 0.0000
Cd 1.6684 2.6678 0.0000
Cd 1.9206 0.0000 2.6637
Cd 1.6684 -2.6678 0.0000
Cd 4.7528 0.0000 2.6637
Se 3.3367 3.3393 2.6637
Se 3.3367 0.0000 0.0000
Se 3.3367 -3.3393 2.6637
```

Output
DOS at the Fermi energy = 3.01 states/eV/cell
V = 23.7 Å³/atom
ρ = 6.99 Mg/m³


Which of them is most stable, and which least? Most stable: P; least stable: Q.


--- P ---
Below is a relaxed structure of CdSiSe, with properties calculated at the GGA-PBE level.

extended XYZ file:
```
3
Lattice="0.0000 3.3148 3.3148 3.3148 0.0000 3.3148 3.3148 3.3148 0.0000" Properties=species:S:1:pos:R:3 pbc="T T T"
Cd 0.0000 0.0000 0.0000
Si 1.6574 1.6574 1.6574
Se 3.3148 3.3148 3.3148
```

Output
DOS at the Fermi energy = 0.77 states/eV/cell
V = 24.3 Å³/atom
ρ = 5.00 Mg/m³


--- Q ---
Below is a relaxed structure of CdSiSe, with properties calculated at the GGA-PBE level.

extended XYZ file:
```
3
Lattice="0.0000 2.7949 7.6746 1.6953 0.0000 7.6746 1.6953 2.7949 0.0000" Properties=species:S:1:pos:R:3 pbc="T T T"
Cd 0.0000 0.0000 0.0000
Si 1.6953 2.7949 4.9114
Se 1.6953 2.7949 10.9013
```

Output
DOS at the Fermi energy = 0.84 states/eV/cell
V = 24.2 Å³/atom
ρ = 5.01 Mg/m³


Which of them is most stable, and which least? Most stable: Q; least stable: P.